Crystalline Cs4NdTh3Se8 at its relaxed geometry, computed with PBE-GGA.

Geometry as POSCAR:
```
Cs4NdTh3Se8
1.0
8.6457 0.0000 0.0000
0.0000 9.8285 0.8318
-4.3229 -4.3224 6.1128
Se Th Cs Nd
8 3 4 1
direct
0.7662 0.3056 0.5324
0.7316 0.6948 0.4632
0.7268 0.6944 0.9606
0.7662 0.3056 0.0394
0.2338 0.6944 0.4676
0.2684 0.3052 0.5368
0.2732 0.3056 0.0394
0.2338 0.6944 0.9606
0.5000 0.5000 0.5000
0.5000 0.5000 0.0000
0.0000 0.5000 0.5000
0.5000 0.0000 0.0000
0.0000 0.0000 0.5000
0.5000 0.0000 0.5000
0.0000 0.0000 0.0000
0.0000 0.5000 0.0000
```

Properties
Space group   R-3m, No. 166
ΔE_f (raw)   -1.573 eV per atom

Crystalline Cs3Nd2ThSe6 at its relaxed geometry, computed with PBE-GGA.

Geometry as POSCAR:
```
Cs3Nd2ThSe6
1.0
7.5675 -0.0006 0.0002
-3.7824 6.5544 0.0002
-1.2621 -2.1854 8.4405
Nd Se Cs Th
2 6 3 1
direct
0.6665 0.3335 0.0000
0.3335 0.6665 0.0000
0.7371 0.7371 0.1925
0.9361 0.6089 0.8082
0.0639 0.3911 0.1918
0.6089 0.9361 0.8082
0.2629 0.2629 0.8075
0.3911 0.0639 0.1918
0.1685 0.8315 0.5000
0.8315 0.1685 0.5000
0.5000 0.5000 0.5000
0.0000 0.0000 0.0000
```

Properties
Space group   C2/m, No. 12
ΔE_f (raw)   -1.668 eV per atom

Crystalline Cs3NdTh2Se6 at its relaxed geometry, computed with PBE-GGA.

Geometry as POSCAR:
```
Cs3NdTh2Se6
1.0
-3.7884 4.5774 4.5857
-0.9976 -7.4255 0.4466
7.8743 0.4478 4.0108
Se Th Nd Cs
6 2 1 3
direct
0.4042 0.0648 0.1942
0.0648 0.4042 0.1942
0.2749 0.2749 0.8064
0.9352 0.5958 0.8058
0.7251 0.7251 0.1936
0.5958 0.9352 0.8058
0.3331 0.6669 0.0000
0.6669 0.3331 0.0000
0.0000 0.0000 0.0000
0.8349 0.1651 0.5000
0.1651 0.8349 0.5000
0.5000 0.5000 0.5000
```

Properties
Space group   C2/m, No. 12
ΔE_f (raw)   -1.594 eV per atom

Crystalline Cs4Nd3TiSe8 at its relaxed geometry, computed with PBE-GGA.

Geometry as POSCAR:
```
Cs4Nd3TiSe8
1.0
-4.0548 3.0640 -6.9222
-8.5664 -2.3297 3.9867
5.0650 5.1544 4.6414
Nd Ti Se Cs
3 1 8 4
direct
0.0000 0.5000 0.5000
0.5000 0.5000 0.5000
0.5000 0.5000 0.0000
0.0000 0.5000 0.0000
0.7847 0.3174 0.5694
0.7522 0.6825 0.9674
0.2152 0.6825 0.9674
0.7848 0.3175 0.0326
0.2478 0.3175 0.0326
0.2686 0.3057 0.5371
0.7314 0.6943 0.4629
0.2153 0.6826 0.4306
0.0000 0.0000 0.0000
0.0000 0.0000 0.5000
0.5000 0.0000 0.5000
0.5000 0.0000 0.0000
```

Properties
Space group   R-3m, No. 166
ΔE_f (raw)   -1.535 eV per atom

Crystalline CsNdTiSe4 at its relaxed geometry, computed with PBE-GGA.

Geometry as POSCAR:
```
CsNdTiSe4
1.0
-6.1361 3.0188 -1.4755
-3.4239 -5.4608 3.0666
2.9857 3.1635 8.9669
Se Cs Nd Ti
8 2 2 2
direct
0.5683 0.2500 0.4272
0.0111 0.9934 0.7015
0.9889 0.4934 0.2985
0.4317 0.7500 0.5728
0.5704 0.2500 0.8148
0.9889 0.0066 0.2985
0.4296 0.7500 0.1852
0.0111 0.5066 0.7015
0.7324 0.7500 0.9386
0.2676 0.2500 0.0614
0.2187 0.2500 0.5444
0.7813 0.7500 0.4556
0.7752 0.2500 0.6647
0.2248 0.7500 0.3353
```

Properties
Space group   P2_1/m, No. 11
ΔE_f (raw)   -1.478 eV per atom

Crystalline CsNdTlSe3 at its relaxed geometry, computed with PBE-GGA.

Geometry as POSCAR:
```
CsNdTlSe3
1.0
4.4776 0.0000 0.0000
0.0000 9.5303 -1.0690
0.0000 -3.6365 12.1334
Cs Se Nd Tl
2 6 2 2
direct
0.2500 0.2191 0.1900
0.7500 0.7809 0.8100
0.2500 0.7693 0.3838
0.2500 0.1080 0.8661
0.7500 0.2307 0.6162
0.7500 0.4688 0.1256
0.2500 0.5312 0.8744
0.7500 0.8920 0.1339
0.7500 0.3250 0.8761
0.2500 0.6750 0.1239
0.7500 0.9571 0.3776
0.2500 0.0429 0.6224
```

Properties
Space group   P2_1/m, No. 11
ΔE_f (raw)   -1.154 eV per atom

Crystalline Cs3Nd2TlSe6 at its relaxed geometry, computed with PBE-GGA.

Geometry as POSCAR:
```
Cs3Nd2TlSe6
1.0
7.5876 0.0033 -0.0010
-3.7891 6.5738 -0.0010
-1.2678 -2.1952 8.4272
Nd Se Cs Tl
2 6 3 1
direct
0.3337 0.6663 0.0000
0.6663 0.3337 0.0000
0.6065 0.9367 0.8101
0.9367 0.6065 0.8101
0.0633 0.3935 0.1899
0.3935 0.0633 0.1899
0.2678 0.2678 0.8084
0.7322 0.7322 0.1916
0.1671 0.8329 0.5000
0.5000 0.5000 0.5000
0.8329 0.1671 0.5000
0.0000 0.0000 0.0000
```

Properties
Space group   C2/m, No. 12
ΔE_f (raw)   -1.305 eV per atom

Crystalline Cs2NdTmSe4 at its relaxed geometry, computed with PBE-GGA.

Geometry as POSCAR:
```
Cs2NdTmSe4
1.0
-2.6236 -2.5322 2.3003
5.7753 -4.4154 1.7266
-0.4147 6.1073 6.2500
Tm Nd Se Cs
1 1 4 2
direct
0.0000 0.0000 0.0000
0.5000 0.5000 0.0000
0.0000 0.7396 0.1887
0.5000 0.2185 0.1848
0.5000 0.7815 0.8152
0.0000 0.2604 0.8113
0.5000 0.0000 0.5000
0.0000 0.5000 0.5000
```

Properties
Space group   P2/m, No. 10
ΔE_f (raw)   -1.713 eV per atom

Crystalline Cs3Nd2TmSe6 at its relaxed geometry, computed with PBE-GGA.

Geometry as POSCAR:
```
Cs3Nd2TmSe6
1.0
-4.7883 1.5840 5.5803
-2.0140 -4.7907 -5.4377
5.3741 -5.3176 4.4298
Se Nd Cs Tm
6 2 3 1
direct
0.6150 0.9375 0.8124
0.2595 0.2595 0.8113
0.0625 0.3850 0.1876
0.9375 0.6150 0.8124
0.3850 0.0625 0.1876
0.7405 0.7405 0.1887
0.3335 0.6665 0.0000
0.6665 0.3335 0.0000
0.1690 0.8310 0.5000
0.5000 0.5000 0.5000
0.8310 0.1690 0.5000
0.0000 0.0000 0.0000
```

Properties
Space group   C2/m, No. 12
ΔE_f (raw)   -1.719 eV per atom

Crystalline Cs3NdTm2Se6 at its relaxed geometry, computed with PBE-GGA.

Geometry as POSCAR:
```
Cs3NdTm2Se6
1.0
-5.1738 4.6313 -2.5979
-0.0852 -2.0299 7.1302
6.6389 5.6646 0.4061
Cs Tm Nd Se
3 2 1 6
direct
0.1642 0.8358 0.5000
0.5000 0.5000 0.5000
0.8358 0.1642 0.5000
0.3331 0.6669 0.0000
0.6669 0.3331 0.0000
0.0000 0.0000 0.0000
0.5936 0.9380 0.8141
0.0620 0.4064 0.1859
0.2827 0.2827 0.8152
0.9380 0.5936 0.8141
0.7173 0.7173 0.1848
0.4064 0.0620 0.1859
```

Properties
Space group   C2/m, No. 12
ΔE_f (raw)   -1.713 eV per atom

Crystalline Cs4Nd3TmSe8 at its relaxed geometry, computed with PBE-GGA.

Geometry as POSCAR:
```
Cs4Nd3TmSe8
1.0
-6.5869 1.2306 5.5759
3.8042 -6.7581 5.9854
5.2035 6.6592 -2.1370
Se Cs Tm Nd
8 4 1 3
direct
0.7751 0.3123 0.0365
0.7763 0.3130 0.5527
0.2691 0.3083 0.5382
0.2249 0.6877 0.9635
0.7309 0.6917 0.4618
0.2237 0.6870 0.4473
0.7387 0.6877 0.9635
0.2613 0.3123 0.0365
0.5000 0.0000 0.0000
0.0000 0.0000 0.0000
0.5000 0.0000 0.5000
0.0000 0.0000 0.5000
0.0000 0.5000 0.0000
0.5000 0.5000 0.0000
0.0000 0.5000 0.5000
0.5000 0.5000 0.5000
```

Properties
Space group   C2/m, No. 12
ΔE_f (raw)   -1.722 eV per atom

Crystalline Cs3NdU3Se8 at its relaxed geometry, computed with PBE-GGA.

Geometry as POSCAR:
```
Cs3NdU3Se8
1.0
-8.0435 1.3649 -2.4158
2.9678 -7.9510 0.6102
-1.7976 4.5353 8.5478
Se U Cs Nd
8 3 3 1
direct
0.2716 0.5432 0.3146
0.2332 0.4665 0.6861
0.2805 0.0472 0.3139
0.7284 0.4568 0.6854
0.7667 0.0472 0.3139
0.7668 0.5335 0.3139
0.7195 0.9528 0.6861
0.2333 0.9528 0.6861
0.5000 0.0000 0.5000
0.5000 0.5000 0.5000
0.0000 0.5000 0.5000
0.0000 0.0000 0.0000
0.5000 0.5000 0.0000
0.0000 0.5000 0.0000
0.0000 0.0000 0.5000
```

Properties
Space group   R-3m, No. 166
ΔE_f (raw)   -1.359 eV per atom

no.,VASP energy (eV per atom)
1,-5.218
2,-5.037
3,-5.183
4,-4.878
5,-5.400
6,-4.228
7,-4.252
8,-4.824
9,-4.842
10,-4.811
11,-4.851
12,-5.964